Here is Pr3TiAg3Se8 after structural relaxation from Alexandria via LeMat-Bulk. Energies are from PBE.

Geometry as POSCAR:
```
Pr3TiAg3Se8
1.0
-4.6626 0.7534 6.9891
-1.0557 -6.6513 -5.0777
6.8017 0.9067 4.4399
Se Pr Ag Ti
8 3 3 1
Cartesian
3.9180 0.7835 4.7859
3.4490 -2.1659 2.5344
-2.8346 -5.7746 1.5654
1.3222 1.2029 8.6768
-0.2388 -6.1940 -2.3256
-0.0365 -2.8715 0.2852
1.1199 -2.1197 6.0661
-2.3656 -2.8252 3.8168
2.8730 -2.8723 -0.3189
1.0695 0.8301 5.7145
0.5417 -2.4956 3.1756
0.0000 0.0000 0.0000
-0.5278 -3.3256 -2.5389
-2.8591 -2.9489 0.9557
3.4008 0.4534 2.2199
```

Output
Total magnetic moment   0.01 μB/atom
ρ   5.9 g/cm3
Formation energy (no corrections)   -16.4 eV/f.u.